## SrTa3 (PBE)

Data for crystalline SrTa3 at its relaxed geometry.

## Properties
**Calculated total energy**: -8.36 eV per atom
**Total magnetization**: 0.00 Bohr magnetons per cell

a b c (Å): 5.861 5.861 2.801
angles (deg): 90.00 90.00 117.50
Sites, in units of the cell vectors:
Ta (0.000, 0.500, 0.500)
Sr (0.000, 0.000, 0.000)
Ta (0.500, 0.000, 0.500)
Ta (0.500, 0.500, 0.000)